(1)
This record from the Alexandria database describes Sc2AuSe at its PBEsol-relaxed geometry. The functional is SCAN.

Structure (POSCAR):
```
Sc2AuSe
1.0
-2.769 1.077 2.039
-1.037 -1.984 2.824
3.874 3.836 6.417
Au Sc Se
1 2 1
direct
0.250 0.250 0.249
0.988 0.988 0.036
0.766 0.766 0.703
0.496 0.496 0.512
```

Output
N(E_F) = 1.690 states/eV/cell
symmetry = R3m, No. 160



(2)
This record from the Alexandria database describes ScSiAu3 at its PBEsol-relaxed geometry. The functional is SCAN.

Structure (POSCAR):
```
ScSiAu3
1.0
-2.668 0.545 3.784
-3.817 -0.639 -2.599
0.214 -4.586 0.812
Sc Au Si
1 3 1
direct
0.500 0.500 0.500
0.500 0.000 0.000
0.000 0.500 0.000
0.000 0.000 0.500
0.000 0.000 0.000
```

Output
N(E_F) = 3.170 states/eV/cell
symmetry = Pm-3m, No. 221



(3)
This record from the Alexandria database describes ScSi3Au at its PBEsol-relaxed geometry. The functional is SCAN.

Structure (POSCAR):
```
ScSi3Au
1.0
-0.854 -4.217 -2.332
4.797 -0.519 -0.817
0.457 -2.429 4.224
Si Sc Au
3 1 1
direct
0.000 0.000 0.500
0.500 0.000 0.000
0.000 0.500 0.000
0.000 0.000 0.000
0.500 0.500 0.500
```

Output
N(E_F) = 3.599 states/eV/cell
symmetry = Pm-3m, No. 221



| no. | ΔE_f (raw) (meV/atom) |
| --- | --- |
| 1 | -752 |
| 2 | -193 |
| 3 | 1256 |